[1]
The following is a GGA-PBE calculation of an optimized crystal structure of CaCd8Hg6, from the Alexandria database.

Cell: 8.5254 8.5254 19.0692 Å, 90.00 90.00 120.00°
Space group R-3 (No. 148, hexagonal axes)
Inequivalent atoms, fractional coordinates:
Ca1 0.0000 0.0000 0.0000 (multiplicity 3)
Cd1 0.0000 0.0000 0.3507 (multiplicity 6)
Cd2 0.0171 0.3714 0.2220 (multiplicity 18)
Hg1 0.0149 0.3060 0.7337 (multiplicity 18)

Computed properties:
DOS(E_F) ... 11.89 states/eV/cell
V ... 1200.32 Å³ per cell
Total moment ... 0.000 μB per formula unit
Energy of formation ... -3.8 kJ/mol of atoms

***

[2]
The following is a GGA-PBE calculation of an optimized crystal structure of CoSbP2, from the Alexandria database.

Cell: 3.6706 3.6706 4.9081 Å, 90.00 90.00 90.00°
Space group P4/mmm (No. 123)
Inequivalent atoms, fractional coordinates:
Co1 0.0000 0.0000 0.0000 (multiplicity 1)
Sb1 0.5000 0.5000 0.0000 (multiplicity 1)
P1 0.0000 0.5000 0.5000 (multiplicity 2)

Computed properties:
DOS(E_F) ... 3.05 states/eV/cell
V ... 66.13 Å³ per cell
Total moment ... 1.098 μB per formula unit
E_form (uncorrected) ... 0.650 eV/atom

***

[3]
The following is a GGA-PBE calculation of an optimized crystal structure of AcMg2Al6, from the Alexandria database.

Cell: 4.3859 7.4499 12.6041 Å, 90.00 90.00 90.00°
Space group Immm (No. 71)
Inequivalent atoms, fractional coordinates:
Ac1 0.0000 0.0000 0.0000 (multiplicity 2)
Mg1 0.0000 0.5000 0.1158 (multiplicity 4)
Al1 0.0000 0.1721 0.5000 (multiplicity 4)
Al2 0.0000 0.3060 0.3063 (multiplicity 8)

Computed properties:
Distance to the lowest polymorph of the same formula ... 0.00 eV/f.u.
DOS(E_F) ... 6.44 states/eV/cell
V ... 411.83 Å³ per cell
Total moment ... 0.000 μB per formula unit
Energy of formation ... -5.4 kJ/mol of atoms